This record from Alexandria via LeMat-Bulk describes TaAs2Rh after structural relaxation. The functional is GGA-PBE.

abc: 4.553 4.553 4.553
angles: 60.00 60.00 60.00
Fractional positions:
Rh 0.500 0.500 0.500
Ta 0.750 0.750 0.750
As 0.000 0.000 0.000
As 0.250 0.250 0.250

Summary:
For the theoretical density, the calculation gives 10.8 g/cm³. The uncorrected energy comes out at -28.122 eV/cell. Its space group is F-43m (216).


This record from Alexandria via LeMat-Bulk describes TaAs2Rh after structural relaxation. The functional is GGA-PBE.

abc: 5.376 5.376 5.376
angles: 139.53 139.53 58.56
Fractional positions:
As 0.250 0.750 0.500
As 0.000 0.000 0.000
Ta 0.750 0.250 0.500
Rh 0.500 0.500 0.000

Summary:
For the theoretical density, the calculation gives 11.1 g/cm³. The uncorrected energy comes out at -29.039 eV/cell. Its space group is I-4m2 (119).


This record from Alexandria via LeMat-Bulk describes Ta2AsRh after structural relaxation. The functional is GGA-PBE.

abc: 3.366 3.366 5.947
angles: 90.00 90.00 90.00
Fractional positions:
As 0.000 0.000 0.484
Ta 0.000 0.000 0.970
Ta 0.500 0.500 0.277
Rh 0.500 0.500 0.769

Summary:
For the theoretical density, the calculation gives 13.3 g/cm³. The uncorrected energy comes out at -37.024 eV/cell. Its space group is P4mm (99).


This record from Alexandria via LeMat-Bulk describes TaAs2Rh2 after structural relaxation. The functional is GGA-PBE.

abc: 3.699 3.699 6.736
angles: 74.06 74.06 90.00
Fractional positions:
As 0.250 0.750 0.500
As 0.750 0.250 0.500
Rh 0.396 0.396 0.208
Rh 0.604 0.604 0.792
Ta 0.000 0.000 0.000

Summary:
For the theoretical density, the calculation gives 10.5 g/cm³. The uncorrected energy comes out at -35.522 eV/cell. Its space group is I4/mmm (139).


This record from Alexandria via LeMat-Bulk describes Ta2AsRh after structural relaxation. The functional is GGA-PBE.

abc: 5.244 5.244 5.244
angles: 137.23 137.23 62.08
Fractional positions:
Ta 0.000 0.000 0.000
Ta 0.250 0.750 0.500
Rh 0.750 0.250 0.500
As 0.500 0.500 0.000

Summary:
For the theoretical density, the calculation gives 13.6 g/cm³. The uncorrected energy comes out at -36.502 eV/cell. Its space group is I-4m2 (119).


This record from Alexandria via LeMat-Bulk describes Ta2AsRh after structural relaxation. The functional is GGA-PBE.

abc: 8.927 8.927 8.927
angles: 19.58 19.58 19.58
Fractional positions:
Ta 0.248 0.248 0.248
Ta 0.005 0.005 0.005
As 0.500 0.500 0.500
Rh 0.746 0.746 0.746

Summary:
For the theoretical density, the calculation gives 12.8 g/cm³. The uncorrected energy comes out at -36.056 eV/cell. Its space group is R3m (160).


This record from Alexandria via LeMat-Bulk describes Ta2AsRh after structural relaxation. The functional is GGA-PBE.

abc: 3.992 2.919 5.944
angles: 71.97 90.00 90.00
Fractional positions:
As 0.500 0.250 0.250
Rh 0.500 0.750 0.750
Ta 0.000 0.049 0.998
Ta 0.000 0.451 0.502

Summary:
For the theoretical density, the calculation gives 13.6 g/cm³. The uncorrected energy comes out at -36.795 eV/cell. Its space group is P2/m (10).


This record from Alexandria via LeMat-Bulk describes TaAs3Rh after structural relaxation. The functional is GGA-PBE.

abc: 4.922 4.922 4.922
angles: 90.00 90.00 90.00
Fractional positions:
Ta 0.000 0.000 0.000
Rh 0.500 0.500 0.500
As 0.500 0.000 0.000
As 0.000 0.500 0.000
As 0.000 0.000 0.500

Summary:
For the theoretical density, the calculation gives 7.1 g/cm³. The uncorrected energy comes out at -29.420 eV/cell. Its space group is Pm-3m (221).